(1)
! W2Br4Cl3 (GGA-PBE, optimized geometry); values from VASP
! **Electronic total energy**: -4.698 eV/atom
! **Crystal system**: monoclinic
! **SG**: C2/c, No. 15
&SYSTEM
  ibrav = 0, nat = 18, ntyp = 3
/
ATOMIC_SPECIES
Br 79.90 Br.upf
Cl 35.45 Cl.upf
W 183.84 W.upf
ATOMIC_POSITIONS crystal
Br 0.607 0.070 0.668
Br 0.107 0.668 0.070
Br 0.455 0.667 0.742
Br 0.893 0.332 0.930
Br 0.393 0.930 0.332
Br 0.045 0.258 0.333
Br 0.955 0.742 0.667
Br 0.545 0.333 0.258
Cl 0.362 0.290 0.956
Cl 0.250 0.408 0.592
Cl 0.638 0.710 0.044
Cl 0.862 0.956 0.290
Cl 0.138 0.044 0.710
Cl 0.750 0.592 0.408
W 0.367 0.138 0.494
W 0.867 0.494 0.138
W 0.633 0.862 0.506
W 0.133 0.506 0.862
CELL_PARAMETERS angstrom
0.245 1.076 7.382
-7.218 -3.641 3.005
2.418 -7.608 3.263

(2)
! BaSn2Te4 (GGA-PBE, optimized geometry); values from VASP
! **Electronic total energy**: -3.815 eV/atom
! **Crystal system**: orthorhombic
! **SG**: Cmcm, No. 63
&SYSTEM
  ibrav = 0, nat = 14, ntyp = 3
/
ATOMIC_SPECIES
Ba 137.33 Ba.upf
Sn 118.71 Sn.upf
Te 127.60 Te.upf
ATOMIC_POSITIONS crystal
Ba 0.594 0.189 0.750
Ba 0.406 0.811 0.250
Sn 0.136 0.271 0.058
Sn 0.864 0.729 0.942
Sn 0.864 0.729 0.558
Sn 0.136 0.271 0.442
Te 0.500 0.000 0.500
Te 0.500 0.000 0.000
Te 0.083 0.165 0.250
Te 0.228 0.456 0.618
Te 0.917 0.835 0.750
Te 0.228 0.456 0.882
Te 0.772 0.544 0.382
Te 0.772 0.544 0.118
CELL_PARAMETERS angstrom
4.627 0.000 0.000
-2.313 7.325 0.000
0.000 0.000 14.768

(3)
! Ac2TbThBi5 (GGA-PBE, optimized geometry); values from VASP
! **Electronic total energy**: -4.568 eV/atom
! **Crystal system**: tetragonal
! **Energy of formation**: -0.1598 eV per atom
! **SG**: P4/mmm, No. 123
&SYSTEM
  ibrav = 0, nat = 9, ntyp = 4
/
ATOMIC_SPECIES
Th 232.04 Th.upf
Bi 208.98 Bi.upf
Ac 227.00 Ac.upf
Tb 158.93 Tb.upf
ATOMIC_POSITIONS crystal
Th 0.000 0.000 0.500
Bi 0.500 0.500 0.000
Bi 0.000 0.500 0.500
Bi 0.500 0.000 0.500
Bi 0.000 0.000 0.757
Bi 0.000 0.000 0.243
Ac 0.500 0.500 0.286
Ac 0.500 0.500 0.714
Tb 0.000 0.000 0.000
CELL_PARAMETERS angstrom
5.788 0.000 0.000
0.000 5.788 0.000
0.000 0.000 12.077

(4)
! La2TlAs (GGA-PBE, optimized geometry); values from VASP
! **Relative energy among the computed polymorphs**: 0.241 eV per atom
! **Electronic total energy**: -4.910 eV/atom
! **Crystal system**: triclinic
! **Energy of formation**: -0.6926 eV per atom
! **SG**: P1, No. 1
&SYSTEM
  ibrav = 0, nat = 4, ntyp = 3
/
ATOMIC_SPECIES
La 138.91 La.upf
As 74.92 As.upf
Tl 204.38 Tl.upf
ATOMIC_POSITIONS crystal
La 0.758 0.261 0.502
La 0.034 0.031 0.998
As 0.247 0.747 0.500
Tl 0.462 0.461 0.000
CELL_PARAMETERS angstrom
-1.958 -4.241 4.815
0.912 -6.676 -0.330
3.050 5.974 -0.369